Entry i
Here is a crystal of BeTeRu3 relaxed with PBEsol from Alexandria. Energies are from meta-GGA SCAN.

Cell: 4.1216 4.1216 4.1216 Å, 90.00 90.00 90.00°
With the nearest neighbours (Å) after each atom.
Positions (direct):
Be: 0.0000 0.0000 0.0000  6 Ru 2.06
Te: 0.5000 0.5000 0.5000  12 Ru 2.91
Ru: 0.0000 0.0000 0.5000  2 Be 2.06
Ru: 0.0000 0.5000 0.0000  2 Be 2.06
Ru: 0.5000 0.0000 0.0000  2 Be 2.06

Summary:
N(E_F): 1.4 states/eV per cell
M_tot: 0.0 μB/f.u.
ρ: 10.43 Mg/m³

Entry ii
Here is a crystal of BeTeRu3 relaxed with PBEsol from Alexandria. Energies are from meta-GGA SCAN.

Cell: 4.6983 4.6983 4.6983 Å, 90.00 90.00 90.00°
With the nearest neighbours (Å) after each atom.
Positions (direct):
Be: 0.0000 0.0000 0.0000  12 Ru 3.32
Te: 0.5000 0.5000 0.5000  6 Ru 2.35
Ru: 0.0000 0.5000 0.5000  2 Te 2.35
Ru: 0.5000 0.0000 0.5000  2 Te 2.35
Ru: 0.5000 0.5000 0.0000  2 Te 2.35

Summary:
N(E_F): 4.4 states/eV per cell
M_tot: 2.1 μB/f.u.
ρ: 7.04 Mg/m³

So which one is most stable? That would be entry i, about 138.2 kJ/mol of atoms below the next structure.

Entry i
Here is a crystal of BeRu2W relaxed with PBEsol from Alexandria. Energies are from meta-GGA SCAN.

Cell: 2.9599 2.9599 5.8054 Å, 90.00 90.00 90.00°
With the nearest neighbours (Å) after each atom.
Positions (direct):
Be: 0.0000 0.0000 0.0000  8 Ru 2.47
Ru: 0.5000 0.5000 0.2273  4 Be 2.47, 4 W 2.62, 1 Ru 2.64
Ru: 0.5000 0.5000 0.7727  4 Be 2.47, 4 W 2.62, 1 Ru 2.64
W: 0.0000 0.0000 0.5000  8 Ru 2.62, 2 Be 2.90

Summary:
N(E_F): 2.2 states/eV per cell
M_tot: 0.0 μB/f.u.
ρ: 12.90 Mg/m³

Entry ii
Here is a crystal of BeRu2W relaxed with PBEsol from Alexandria. Energies are from meta-GGA SCAN.

Cell: 8.4352 8.4352 8.4352 Å, 18.43 18.43 18.43°
With the nearest neighbours (Å) after each atom.
Positions (direct):
Be: 0.0000 0.0000 0.0000  3 Ru 2.40, 3 W 2.62
Ru: 0.2598 0.2598 0.2598  3 Be 2.40, 3 Ru 2.67
Ru: 0.5061 0.5061 0.5061  9 Ru 2.67-2.70, 3 W 2.69
W: 0.7512 0.7512 0.7512  3 Be 2.62, 3 Ru 2.69, 6 W 2.70

Summary:
N(E_F): 4.1 states/eV per cell
M_tot: 0.0 μB/f.u.
ρ: 12.52 Mg/m³

Entry iii
Here is a crystal of BeRu2W relaxed with PBEsol from Alexandria. Energies are from meta-GGA SCAN.

Cell: 4.1856 4.1856 4.1856 Å, 60.00 60.00 60.00°
With the nearest neighbours (Å) after each atom.
Positions (direct):
Be: 0.0000 0.0000 0.0000  8 Ru 2.56
Ru: 0.2500 0.2500 0.2500  4 W 2.56, 4 Be 2.56
Ru: 0.7500 0.7500 0.7500  4 W 2.56, 4 Be 2.56
W: 0.5000 0.5000 0.5000  8 Ru 2.56

Summary:
N(E_F): 0.3 states/eV per cell
M_tot: 0.0 μB/f.u.
ρ: 12.65 Mg/m³

So which one is most stable? That would be entry iii, about 6.5 kJ/mol of atoms below the next structure.